*one*
Material: CaAc12Pr7
Method: DFT, PBE
State: optimized geometry

Unit cell a=12.2913 b=12.2913 c=12.2913 alpha=116.59 beta=116.59 gamma=116.59
Fractional positions:
Ac1 0.8726 0.0507 0.4185
Ac2 0.0507 0.4185 0.8726
Ac3 0.8425 0.5154 0.5017
Pr1 0.9259 0.9937 0.7007
Pr2 0.5000 0.5000 0.5000
Pr3 0.0741 0.0063 0.2993
Ac4 0.1274 0.9493 0.5815
Pr4 0.7007 0.9259 0.9937
Pr5 0.2993 0.0741 0.0063
Ac5 0.9493 0.5815 0.1274
Ca1 0.0000 0.0000 0.0000
Ac6 0.4983 0.1575 0.4846
Ac7 0.4185 0.8726 0.0507
Ac8 0.5017 0.8425 0.5154
Pr6 0.9937 0.7007 0.9259
Ac9 0.5815 0.1274 0.9493
Ac10 0.5154 0.5017 0.8425
Pr7 0.0063 0.2993 0.0741
Ac11 0.1575 0.4846 0.4983
Ac12 0.4846 0.4983 0.1575

Output
V	870	Å³ per cell

=====

*two*
Material: CaAc12Pr7
Method: DFT, PBE
State: optimized geometry

Unit cell a=10.6711 b=10.6711 c=10.6711 alpha=109.47 beta=109.47 gamma=109.47
Fractional positions:
Ac1 0.4885 0.7065 0.7820
Pr1 0.0000 0.5000 0.0000
Ac2 0.2935 0.7820 0.0755
Ac3 0.7820 0.0755 0.2935
Ac4 0.7820 0.4885 0.7065
Ac5 0.2180 0.9245 0.7065
Ac6 0.7065 0.2180 0.9245
Pr2 0.5000 0.0000 0.0000
Pr3 0.5000 0.5000 0.0000
Ac7 0.2180 0.5115 0.2935
Pr4 0.0000 0.0000 0.5000
Ac8 0.5115 0.2935 0.2180
Pr5 0.5000 0.0000 0.5000
Ac9 0.9245 0.7065 0.2180
Ca1 0.0000 0.0000 0.0000
Ac10 0.2935 0.2180 0.5115
Pr6 0.5000 0.5000 0.5000
Ac11 0.0755 0.2935 0.7820
Ac12 0.7065 0.7820 0.4885
Pr7 0.0000 0.5000 0.5000

Output
V	935	Å³ per cell

=====

Most stable to least stable, the ends of the list are *one* and *two*.

=====

*one*
Material: CaAc2Pr3
Method: DFT, PBE
State: optimized geometry

Unit cell a=6.2072 b=9.7451 c=10.3368 alpha=124.28 beta=90.00 gamma=108.57
Fractional positions:
Ac1 0.8085 0.6171 0.1322
Pr1 0.7043 0.4086 0.3572
Pr2 0.3645 0.7289 0.3819
Ac2 0.1915 0.3829 0.8678
Ca1 0.1178 0.2357 0.1364
Pr3 0.6355 0.2711 0.6181
Ca2 0.8822 0.7643 0.8636
Ac3 0.5438 0.0875 0.8623
Pr4 0.2957 0.5914 0.6428
Pr5 0.0618 0.1236 0.4154
Ac4 0.4562 0.9125 0.1377
Pr6 0.9382 0.8764 0.5846

Output
V	477	Å³ per cell

=====

*two*
Material: CaAc2Pr3
Method: DFT, PBE
State: optimized geometry

Unit cell a=3.7865 b=10.7317 c=12.1332 alpha=86.60 beta=78.88 gamma=85.39
Fractional positions:
Ac1 0.1757 0.5998 0.1172
Ac2 0.6200 0.9141 0.1485
Ac3 0.3800 0.0859 0.8515
Pr1 0.5682 0.4326 0.3624
Pr2 0.7803 0.0844 0.3958
Pr3 0.0215 0.2654 0.6010
Ca1 0.7665 0.7528 0.8580
Pr4 0.2197 0.9156 0.6042
Ac4 0.8243 0.4002 0.8828
Pr5 0.9785 0.7346 0.3990
Pr6 0.4318 0.5674 0.6376
Ca2 0.2335 0.2472 0.1420

Output
V	482	Å³ per cell

=====

Most stable to least stable, the ends of the list are *two* and *one*.

=====

*one*
Material: CaAc4Pr5
Method: DFT, PBE
State: optimized geometry

Unit cell a=6.1893 b=9.3826 c=10.7756 alpha=42.84 beta=73.31 gamma=70.74
Fractional positions:
Pr1 0.6071 0.6969 0.0890
Ca1 0.0000 0.0000 0.0000
Pr2 0.0000 0.5000 0.5000
Ac1 0.8010 0.6603 0.7376
Ac2 0.6046 0.2015 0.5894
Pr3 0.1965 0.8404 0.7666
Ac3 0.3954 0.7985 0.4106
Pr4 0.3929 0.3031 0.9110
Ac4 0.1990 0.3397 0.2624
Pr5 0.8035 0.1596 0.2334

Output
V	401	Å³ per cell

=====

*two*
Material: CaAc4Pr5
Method: DFT, PBE
State: optimized geometry

Unit cell a=3.8872 b=3.8872 c=26.4755 alpha=90.00 beta=90.00 gamma=90.00
Fractional positions:
Ac1 0.0000 0.0000 0.3992
Ca1 0.0000 0.0000 0.0000
Pr1 0.5000 0.5000 0.2990
Ac2 0.0000 0.0000 0.6008
Pr2 0.5000 0.5000 0.5000
Pr3 0.5000 0.5000 0.8990
Pr4 0.5000 0.5000 0.1010
Ac3 0.0000 0.0000 0.1975
Ac4 0.0000 0.0000 0.8025
Pr5 0.5000 0.5000 0.7010

Output
V	400	Å³ per cell

=====

Most stable to least stable, the ends of the list are *two* and *one*.

=====

*one*
Material: CaAcPr4
Method: DFT, PBE
State: optimized geometry

Unit cell a=6.9662 b=6.9662 c=6.9662 alpha=60.00 beta=60.00 gamma=60.00
Fractional positions:
Ca1 0.0000 0.0000 0.0000
Pr1 0.6245 0.6245 0.1265
Pr2 0.6245 0.1265 0.6245
Ac1 0.2500 0.2500 0.2500
Pr3 0.1265 0.6245 0.6245
Pr4 0.6245 0.6245 0.6245

Output
V	239	Å³ per cell

=====

*two*
Material: CaAcPr4
Method: DFT, PBE
State: optimized geometry

Unit cell a=3.7759 b=5.3714 c=11.3398 alpha=90.04 beta=89.94 gamma=90.02
Fractional positions:
Pr1 0.5004 0.0001 0.1722
Ca1 0.0000 0.5000 0.0000
Pr2 0.9998 0.4999 0.6688
Ac1 0.5000 0.0000 0.5000
Pr3 0.0002 0.5001 0.3312
Pr4 0.4996 0.9999 0.8278

Output
V	230	Å³ per cell

=====

Most stable to least stable, the ends of the list are *two* and *one*.

=====

*one*
Material: CaAcPrY
Method: DFT, PBE
State: optimized geometry

Unit cell a=3.8096 b=3.8096 c=10.6861 alpha=90.00 beta=90.00 gamma=90.00
Fractional positions:
Y1 0.1461 0.8539 0.2357
Ac1 0.1465 0.8535 0.7084
Pr1 0.6463 0.3537 0.4567
Ca1 0.6461 0.3539 0.9879

Output
V	155	Å³ per cell

=====

*two*
Material: CaAcPrY
Method: DFT, PBE
State: optimized geometry

Unit cell a=6.0062 b=6.0062 c=6.0062 alpha=60.00 beta=60.00 gamma=60.00
Fractional positions:
Y1 0.7500 0.7500 0.7500
Ac1 0.5000 0.5000 0.5000
Ca1 0.0000 0.0000 0.0000
Pr1 0.2500 0.2500 0.2500

Output
V	153	Å³ per cell

=====

Most stable to least stable, the ends of the list are *one* and *two*.

=====

*one*
Material: Ca2AcPt
Method: DFT, PBE
State: optimized geometry

Unit cell a=3.6547 b=3.6547 c=9.4688 alpha=90.00 beta=90.00 gamma=90.00
Fractional positions:
Ca1 0.0000 0.0000 0.1724
Pt1 0.5000 0.5000 0.0000
Ac1 0.5000 0.5000 0.5000
Ca2 0.0000 0.0000 0.8276

Output
V	126	Å³ per cell

=====

*two*
Material: Ca2AcPt
Method: DFT, PBE
State: optimized geometry

Unit cell a=4.1552 b=6.8877 c=9.7585 alpha=90.00 beta=90.00 gamma=107.58
Fractional positions:
Ca1 0.6520 0.3040 0.4309
Pt1 0.7398 0.4796 0.7500
Ca2 0.6520 0.3040 0.0691
Ca3 0.3480 0.6960 0.5691
Ca4 0.3480 0.6960 0.9309
Ac1 0.0767 0.1531 0.7500
Pt2 0.2602 0.5204 0.2500
Ac2 0.9233 0.8469 0.2500

Output
V	266	Å³ per cell

=====

Most stable to least stable, the ends of the list are *two* and *one*.

=====

*one*
Material: Ca2AcPt
Method: DFT, PBE
State: optimized geometry

Unit cell a=3.9185 b=3.9185 c=11.2942 alpha=80.01 beta=80.01 gamma=60.00
Fractional positions:
Ca1 0.8848 0.8848 0.3455
Ca2 0.1152 0.1152 0.6545
Pt1 0.5000 0.5000 0.5000
Ac1 0.0000 0.0000 0.0000

Output
V	147	Å³ per cell

=====

*two*
Material: Ca2AcPt
Method: DFT, PBE
State: optimized geometry

Unit cell a=6.6164 b=7.8052 c=10.1564 alpha=90.00 beta=90.00 gamma=90.00
Fractional positions:
Ca1 0.3390 0.1735 0.0683
Pt1 0.0618 0.3815 0.2500
Pt2 0.9382 0.6185 0.7500
Pt3 0.4382 0.8815 0.2500
Ca2 0.1610 0.6735 0.0683
Ca3 0.3390 0.1735 0.4317
Ca4 0.8390 0.3265 0.5683
Ac1 0.3576 0.4588 0.7500
Ac2 0.6424 0.5412 0.2500
Ca5 0.6610 0.8265 0.9317
Ac3 0.1424 0.9588 0.7500
Ca6 0.8390 0.3265 0.9317
Pt4 0.5618 0.1185 0.7500
Ac4 0.8576 0.0412 0.2500
Ca7 0.1610 0.6735 0.4317
Ca8 0.6610 0.8265 0.5683

Output
V	525	Å³ per cell

=====

Most stable to least stable, the ends of the list are *two* and *one*.

=====

*one*
Material: CaAcPt2
Method: DFT, PBE
State: optimized geometry

Unit cell a=4.1013 b=4.5099 c=5.9272 alpha=90.00 beta=110.27 gamma=90.00
Fractional positions:
Ca1 0.7207 0.0000 0.9804
Ac1 0.4418 0.5000 0.4240
Pt1 0.0019 0.0000 0.5423
Pt2 0.1665 0.5000 0.8714

Output
V	103	Å³ per cell

=====

*two*
Material: CaAcPt2
Method: DFT, PBE
State: optimized geometry

Unit cell a=3.6627 b=5.1526 c=5.1526 alpha=90.00 beta=90.00 gamma=90.00
Fractional positions:
Pt1 0.0000 0.0000 0.5000
Ca1 0.5000 0.0000 0.0000
Pt2 0.0000 0.5000 0.0000
Ac1 0.5000 0.5000 0.5000

Output
V	97	Å³ per cell

=====

*three*
Material: CaAcPt2
Method: DFT, PBE
State: optimized geometry

Unit cell a=4.2555 b=4.2555 c=7.4385 alpha=73.38 beta=73.38 gamma=60.00
Fractional positions:
Ac1 0.6692 0.6692 0.9924
Pt1 0.0895 0.0895 0.7315
Ca1 0.4966 0.4966 0.5103
Pt2 0.2447 0.2447 0.2658

Output
V	110	Å³ per cell

=====

Most stable to least stable, the ends of the list are *one* and *three*.

=====

*one*
Material: CaAcSiPt
Method: DFT, PBE
State: optimized geometry

Unit cell a=5.2366 b=5.2366 c=5.2366 alpha=60.00 beta=60.00 gamma=60.00
Fractional positions:
Pt1 0.7500 0.7500 0.7500
Si1 0.2500 0.2500 0.2500
Ca1 0.5000 0.5000 0.5000
Ac1 0.0000 0.0000 0.0000

Output
V	102	Å³ per cell

=====

*two*
Material: CaAcSiPt
Method: DFT, PBE
State: optimized geometry

Unit cell a=4.5147 b=4.2921 c=5.9179 alpha=90.00 beta=112.42 gamma=90.00
Fractional positions:
Pt1 0.3369 0.0000 0.6739
Si1 0.4537 0.5000 0.9075
Ac1 0.7470 0.5000 0.4939
Ca1 0.0320 0.0000 0.0640

Output
V	106	Å³ per cell

=====

Most stable to least stable, the ends of the list are *two* and *one*.

=====

*one*
Material: CaAc2Pu
Method: DFT, PBE
State: optimized geometry

Unit cell a=3.8540 b=3.8540 c=12.6019 alpha=81.20 beta=81.20 gamma=60.00
Fractional positions:
Pu1 0.6664 0.6664 0.0007
Ac1 0.0782 0.0782 0.7654
Ca1 0.5001 0.5001 0.4996
Ac2 0.2552 0.2552 0.2344

Output
V	160	Å³ per cell

=====

*two*
Material: CaAc2Pu
Method: DFT, PBE
State: optimized geometry

Unit cell a=4.0564 b=6.2156 c=6.2156 alpha=90.00 beta=90.00 gamma=90.00
Fractional positions:
Pu1 0.5000 0.0000 0.0000
Ca1 0.5000 0.5000 0.5000
Ac1 0.0000 0.0000 0.5000
Ac2 0.0000 0.5000 0.0000

Output
V	157	Å³ per cell

=====

*three*
Material: CaAc2Pu
Method: DFT, PBE
State: optimized geometry

Unit cell a=3.8086 b=3.8086 c=10.9129 alpha=90.00 beta=90.00 gamma=90.00
Fractional positions:
Pu1 0.5000 0.5000 0.0000
Ac1 0.0000 0.0000 0.2303
Ac2 0.0000 0.0000 0.7697
Ca1 0.5000 0.5000 0.5000

Output
V	158	Å³ per cell

=====

Most stable to least stable, the ends of the list are *three* and *two*.

=====

*one*
Material: RbCa2Ac
Method: DFT, PBE
State: optimized geometry

Unit cell a=3.9933 b=3.9933 c=14.7303 alpha=82.21 beta=82.21 gamma=60.00
Fractional positions:
Ca1 0.9067 0.9067 0.2798
Ac1 0.5000 0.5000 0.5000
Ca2 0.0933 0.0933 0.7202
Rb1 0.0000 0.0000 0.0000

Output
V	201	Å³ per cell

=====

*two*
Material: RbCa2Ac
Method: DFT, PBE
State: optimized geometry

Unit cell a=4.1355 b=6.8788 c=6.8788 alpha=90.00 beta=90.00 gamma=90.00
Fractional positions:
Rb1 0.5000 0.5000 0.5000
Ac1 0.5000 0.0000 0.0000
Ca1 0.0000 0.0000 0.5000
Ca2 0.0000 0.5000 0.0000

Output
V	196	Å³ per cell

=====

Most stable to least stable, the ends of the list are *one* and *two*.